The following is a PBE calculation of crystalline YSe2Cl at its relaxed geometry, from the Alexandria database.

```
YSe2Cl
1.0
4.692 0.000 0.000
0.000 4.692 0.000
2.346 2.346 10.240
Y Se Cl
2 4 2
Direct
0.000 0.000 0.000
0.750 0.250 0.500
0.875 0.029 0.750
0.971 0.625 0.250
0.375 0.221 0.750
0.779 0.125 0.250
0.500 0.500 0.000
0.250 0.750 0.500
```

formation energy (no corrections)	-1.036	eV/atom
offset from the most stable computed form	366	meV per atom
symmetry	I-42d (122)
calculated total energy	-4.856	eV per atom
crystal system	tetragonal